# LiCoSiAg, optimized geometry, DFT PBE
# Size of the total moment   1.3 μB/cell
# Polymorph energy (0 for the lowest one)   0.16 eV per formula unit
# Energy   -69.68 eV for the cell shown
data_LiCoSiAg
_chemical_formula_sum 'Li4 Co4 Si4 Ag4'
_symmetry_space_group_name_H-M 'F -4 3 m'
_symmetry_Int_Tables_number 216
_symmetry_space_group_name_Hall 'F -4 2 3'
_cell_length_a 5.9021
_cell_length_b 5.9021
_cell_length_c 5.9021
_cell_angle_alpha 90.00
_cell_angle_beta 90.00
_cell_angle_gamma 90.00
loop_
_atom_site_label
_atom_site_fract_x
_atom_site_fract_y
_atom_site_fract_z
Li1 0.0000 0.0000 0.0000
Co1 0.0000 0.0000 0.5000
Si1 0.2500 0.2500 0.2500
Ag1 0.2500 0.2500 0.7500